[1]
Below is a relaxed structure of SrScW, with properties calculated at the PBE-GGA level.

Summary:
Formation enthalpy at 0 K   4.30 eV/f.u.
DFT total energy   -5.5539 eV per atom
Relative energy among the computed polymorphs   0.669 eV per atom
Crystal system   cubic

a = 5.0117 Å, b = 5.0117 Å, c = 5.0117 Å
α = 60.00°, β = 60.00°, γ = 60.00°
Closest atoms and distances in Å follow each position.
Sites, in units of the cell vectors:
1 Sc 0.0000 0.0000 0.0000  4 W 3.07
2 Sr 0.5000 0.5000 0.5000  4 W 3.07
3 W 0.7500 0.7500 0.7500  4 Sc 3.07, 4 Sr 3.07

[2]
Below is a relaxed structure of SrScW, with properties calculated at the PBE-GGA level.

Summary:
Formation enthalpy at 0 K   2.81 eV/f.u.
DFT total energy   -6.0537 eV per atom
Relative energy among the computed polymorphs   0.170 eV per atom
Crystal system   hexagonal

a = 5.2514 Å, b = 5.2514 Å, c = 2.8569 Å
α = 90.00°, β = 90.00°, γ = 120.00°
Closest atoms and distances in Å follow each position.
Sites, in units of the cell vectors:
1 Sc 0.0000 0.0000 0.1671  2 Sc 2.86, 3 Sr 3.03
2 Sr 0.6667 0.3333 0.1663  2 Sr 2.86, 3 Sc 3.03
3 W 0.3333 0.6667 0.6667  2 W 2.86

[3]
Below is a relaxed structure of Sr2ScW, with properties calculated at the PBE-GGA level.

Summary:
Formation enthalpy at 0 K   4.12 eV/f.u.
DFT total energy   -4.6332 eV per atom
Relative energy among the computed polymorphs   0.413 eV per atom
Crystal system   orthorhombic

a = 3.1570 Å, b = 3.1570 Å, c = 11.3501 Å
α = 90.00°, β = 90.00°, γ = 94.51°
Closest atoms and distances in Å follow each position.
Sites, in units of the cell vectors:
1 Sc 0.5000 0.5000 0.7500  4 Sc 3.16
2 Sr 0.0000 0.0000 0.0308  4 Sr 3.16, 4 W 3.28-3.40
3 Sr 0.0000 0.0000 0.4692  4 Sr 3.16, 4 W 3.28-3.40
4 W 0.5000 0.5000 0.2500  4 W 3.16, 8 Sr 3.28-3.40

[4]
Below is a relaxed structure of SrScW4, with properties calculated at the PBE-GGA level.

Summary:
Formation enthalpy at 0 K   3.22 eV/f.u.
DFT total energy   -9.4352 eV per atom
Crystal system   cubic

a = 5.5329 Å, b = 5.5329 Å, c = 5.5329 Å
α = 60.00°, β = 60.00°, γ = 60.00°
Closest atoms and distances in Å follow each position.
Sites, in units of the cell vectors:
1 Sr 0.0000 0.0000 0.0000  12 W 3.24, 4 Sc 3.39
2 Sc 0.7500 0.7500 0.7500  12 W 3.24, 4 Sr 3.39
3 W 0.8760 0.3747 0.3747  6 W 2.76-2.77
4 W 0.3747 0.3747 0.8760  6 W 2.76-2.77
5 W 0.3747 0.8760 0.3747  6 W 2.76-2.77
6 W 0.3747 0.3747 0.3747  6 W 2.76-2.77

- Which value of formation enthalpy at 0 K does entry 1 give?
  4.30 eV/f.u.